(1)
DFT (PBE-GGA) results for an optimized crystal structure of In2HgAs.

Summary:
Space-group type = P4mm
Magnetic moment = 0.0 Bohr magnetons per cell
Mass density = 7.90 Mg/m³
Crystal system = tetragonal

```
In2HgAs
1.0
4.084 0.000 0.000
0.000 4.084 0.000
0.000 0.000 6.367
In Hg As
2 1 1
direct
0.000 0.000 0.000
0.500 0.500 0.426
0.500 0.500 0.908
0.000 0.000 0.439
```

(2)
DFT (PBE-GGA) results for an optimized crystal structure of InHg2As.

Summary:
Space-group type = Cm
Magnetic moment = 0.0 Bohr magnetons per cell
Mass density = 9.13 Mg/m³
Crystal system = monoclinic

```
InHg2As
1.0
7.435 0.000 0.000
0.000 4.267 0.000
-2.462 0.000 6.773
In Hg As
2 4 2
direct
0.000 0.000 0.000
0.500 0.500 0.000
0.021 0.500 0.565
0.265 0.500 0.295
0.521 0.000 0.565
0.765 0.000 0.295
0.275 0.000 0.825
0.775 0.500 0.825
```

(3)
DFT (PBE-GGA) results for an optimized crystal structure of InHg2As.

Summary:
Space-group type = P4mm
Magnetic moment = 0.0 Bohr magnetons per cell
Mass density = 8.41 Mg/m³
Crystal system = tetragonal

```
InHg2As
1.0
3.822 0.000 0.000
0.000 3.822 0.000
0.000 0.000 7.983
In Hg As
1 2 1
direct
0.000 0.000 0.000
0.000 0.000 0.361
0.500 0.500 0.571
0.500 0.500 0.915
```

(4)
DFT (PBE-GGA) results for an optimized crystal structure of InHg2As2.

Summary:
Space-group type = I4/mmm
Magnetic moment = 0.0 Bohr magnetons per cell
Mass density = 8.59 Mg/m³
Crystal system = tetragonal

```
InHg2As2
1.0
3.749 0.000 0.000
0.000 3.749 0.000
0.000 0.000 18.312
In Hg As
2 4 4
direct
0.000 0.000 0.000
0.500 0.500 0.500
0.000 0.000 0.395
0.000 0.000 0.605
0.500 0.500 0.105
0.500 0.500 0.895
0.000 0.500 0.250
0.000 0.500 0.750
0.500 0.000 0.250
0.500 0.000 0.750
```

Number 1: total energy -2.58 eV/atom. Number 2: total energy -1.97 eV/atom. Number 3: total energy -1.91 eV/atom. Number 4: total energy -2.37 eV/atom.